## CsW3Se6 (PBE)

Data for a relaxed CsW3Se6 crystal.

abc: 13.5841 3.4140 14.1716
angles: 90.00 94.41 90.00
Last column: nearest neighbours and their distance in Å.
Atoms (fractional coordinates):
Cs1 0.1788 0.2500 0.0989  2 Cs 3.41, 8 Se 3.52-3.78
Cs2 0.8212 0.7500 0.9011  2 Cs 3.41, 8 Se 3.52-3.78
W1 0.0527 0.7500 0.6230  6 Se 2.54-2.67, 2 W 2.84
W2 0.1325 0.2500 0.7693  6 Se 2.53-2.84, 2 W 2.84
W3 0.4435 0.7500 0.9351  5 Se 2.50-2.56
W4 0.5565 0.2500 0.0649  5 Se 2.50-2.56
W5 0.8675 0.7500 0.2307  6 Se 2.53-2.84, 2 W 2.84
W6 0.9473 0.2500 0.3770  6 Se 2.54-2.67, 2 W 2.84
Se1 0.0477 0.7500 0.2918  3 W 2.53-2.55
Se2 0.0829 0.7500 0.8953  2 W 2.60
Se3 0.1085 0.2500 0.4976  3 W 2.62-2.67
Se4 0.2335 0.7500 0.6833  3 W 2.54-2.56
Se5 0.3122 0.2500 0.8853  2 W 2.53
Se6 0.4271 0.7500 0.1095  3 W 2.50-2.56
Se7 0.5729 0.2500 0.8905  3 W 2.50-2.56
Se8 0.6878 0.7500 0.1147  2 W 2.53
Se9 0.7665 0.2500 0.3167  3 W 2.54-2.56
Se10 0.8915 0.7500 0.5024  3 W 2.62-2.67
Se11 0.9171 0.2500 0.1047  2 W 2.60
Se12 0.9523 0.2500 0.7082  3 W 2.53-2.55

electronic total energy: -6.53 eV/atom
formation energy from raw total energies: -470.5 meV/atom